DFT (PBE-GGA) results for crystalline KTa2Mo at its relaxed geometry.

Cell: 4.801 4.801 4.801 Å, 60.00 60.00 60.00°
Positions (direct):
K  0.000  0.000  0.000
Ta  0.250  0.250  0.250
Ta  0.750  0.750  0.750
Mo  0.500  0.500  0.500

Results
mass density = 10.545 Mg/m³
SG = Fm-3m, No. 225
energy of formation from the pure elements = 1394.0 meV/atom
offset from the most stable computed form = 0.813 eV/atom
DFT total energy = -0.2762 Ha/atom

DFT (PBE-GGA) results for crystalline RbIn2PbAu4 at its relaxed geometry.

Cell: 11.764 11.764 11.764 Å, 23.13 23.13 23.13°
Positions (direct):
Rb  0.000  0.000  0.000
In  0.247  0.247  0.247
In  0.753  0.753  0.753
Pb  0.500  0.500  0.500
Au  0.115  0.115  0.115
Au  0.407  0.407  0.407
Au  0.593  0.593  0.593
Au  0.885  0.885  0.885

Results
mass density = 9.869 Mg/m³
SG = R-3m, No. 166
energy of formation from the pure elements = -152.3 meV/atom
DFT total energy = -0.1125 Ha/atom

DFT (PBE-GGA) results for crystalline Pt3Rh8 at its relaxed geometry.

Cell: 13.921 13.921 13.921 Å, 168.86 161.67 21.50°
Positions (direct):
Pt  0.000  0.000  0.000
Pt  0.360  0.860  0.500
Pt  0.640  0.140  0.500
Rh  0.091  0.591  0.500
Rh  0.182  0.682  0.500
Rh  0.266  0.266  0.000
Rh  0.454  0.454  0.000
Rh  0.546  0.546  0.000
Rh  0.734  0.734  0.000
Rh  0.818  0.318  0.500
Rh  0.909  0.409  0.500

Results
mass density = 14.270 Mg/m³
SG = Immm, No. 71
energy of formation from the pure elements = 160.7 meV/atom
offset from the most stable computed form = 0.000 eV/atom
DFT total energy = -0.2511 Ha/atom

DFT (PBE-GGA) results for crystalline BaIn2Au3 at its relaxed geometry.

Cell: 7.125 7.125 6.317 Å, 90.00 90.00 76.17°
Positions (direct):
Ba  0.176  0.824  0.750
Ba  0.824  0.176  0.250
In  0.295  0.295  0.000
In  0.295  0.295  0.500
In  0.705  0.705  0.000
In  0.705  0.705  0.500
Au  0.032  0.642  0.250
Au  0.358  0.968  0.250
Au  0.431  0.569  0.250
Au  0.569  0.431  0.750
Au  0.642  0.032  0.750
Au  0.968  0.358  0.750

Results
mass density = 10.216 Mg/m³
SG = Cmcm, No. 63
energy of formation from the pure elements = -484.9 meV/atom
DFT total energy = -0.1234 Ha/atom

Look up the energy of formation from the pure elements of the second one. -152.3 meV/atom

energy of formation from the pure elements of number 4 (BaIn2Au3)? -484.9 meV/atom

The highest energy of formation from the pure elements belongs to which entry? KTa2Mo